A plane-wave DFT calculation with PBE-GGA was carried out for a relaxed structure of CuMoSe2N.

Computed properties:
Total moment ... 4.578 μB/f.u.
Energy above the most stable polymorph in this dataset ... 633 meV/atom
Raw total energy ... -4.986 eV/atom
Formation energy without anion corrections ... 1.059 eV per atom

a b c (Å): 4.946 4.946 3.549
angles (deg): 90.00 90.00 90.00
Positions (direct):
Mo 0.500 0.500 0.500
Cu 0.000 0.000 0.000
Se 0.000 0.500 0.000
Se 0.500 0.000 0.000
N 0.000 0.000 0.500